## one
The following is a GGA-PBEsol calculation of a geometry-optimized Co2AsP structure, from the Alexandria database.

The structure belongs to space group Immm (No. 71); the cell edges are 3.7593, 4.0848 and 6.1387 Å and the angles 90.00°, 90.00° and 90.00°. Symmetry generates all atoms from Co at (0.0000, 0.0000, 0.2193), As at (0.0000, 0.5000, 0.0000) and P at (0.0000, 0.5000, 0.5000).

***

## two
The following is a GGA-PBEsol calculation of a geometry-optimized Co2AsP structure, from the Alexandria database.

The structure belongs to space group Cm (No. 8); the cell edges are 7.3086, 3.1353 and 4.5641 Å and the angles 90.00°, 102.67° and 90.00°. Symmetry generates all atoms from Co at (0.0000, 0.0000, 0.0000), Co at (0.2126, 0.0000, 0.6171), As at (0.2387, 0.5000, 0.2220) and P at (0.0123, 0.5000, 0.6747).

***

Which one sits at the top of the stability order? two does.

***

## one
The following is a GGA-PBEsol calculation of a geometry-optimized CoAsP structure, from the Alexandria database.

The structure belongs to space group Pmn2_1 (No. 31); the cell edges are 2.9799, 4.9136 and 5.6601 Å and the angles 90.00°, 90.00° and 90.00°. Symmetry generates all atoms from Co at (0.0000, 0.2306, 0.0000), As at (0.0000, 0.4285, 0.6284) and P at (0.0000, 0.0594, 0.3607).

***

## two
The following is a GGA-PBEsol calculation of a geometry-optimized CoAsP structure, from the Alexandria database.

The structure belongs to space group Pbca (No. 61); the cell edges are 5.6666, 5.6997 and 10.1409 Å and the angles 90.00°, 90.00° and 90.00°. Symmetry generates all atoms from Co at (0.0136, 0.1089, 0.1199), As at (0.1400, 0.2445, 0.4204) and P at (0.1266, 0.0187, 0.6777).

***

Which one sits at the top of the stability order? one does.

***

## one
The following is a GGA-PBEsol calculation of a geometry-optimized CoAsRu structure, from the Alexandria database.

The structure belongs to space group F-43m (No. 216); the cell edges are 5.5460, 5.5460 and 5.5460 Å and the angles 90.00°, 90.00° and 90.00°. Symmetry generates all atoms from Co at (0.0000, 0.0000, 0.0000), As at (0.2500, 0.2500, 0.2500) and Ru at (0.2500, 0.2500, 0.7500).

***

## two
The following is a GGA-PBEsol calculation of a geometry-optimized CoAsRu structure, from the Alexandria database.

The structure belongs to space group Fmm2 (No. 42); the cell edges are 3.0005, 4.6587 and 11.3671 Å and the angles 90.00°, 90.00° and 90.00°. Symmetry generates all atoms from Co at (0.0000, 0.0000, 0.0000), As at (0.0000, 0.0000, 0.6504) and Ru at (0.0000, 0.0000, 0.3201).

***

Which one sits at the top of the stability order? one does.

***

## one
The following is a GGA-PBEsol calculation of a geometry-optimized CoAsS structure, from the Alexandria database.

The structure belongs to space group Pmn2_1 (No. 31); the cell edges are 3.4384, 4.5314 and 5.4932 Å and the angles 90.00°, 90.00° and 90.00°. Symmetry generates all atoms from Co at (0.0000, 0.2345, 0.0000), As at (0.0000, 0.4613, 0.3737) and S at (0.0000, 0.0466, 0.6292).

***

## two
The following is a GGA-PBEsol calculation of a geometry-optimized CoAsS structure, from the Alexandria database.

The structure belongs to space group Pca2_1 (No. 29); the cell edges are 5.4982, 5.5039 and 5.4931 Å and the angles 90.00°, 90.00° and 90.00°. Symmetry generates all atoms from Co at (0.0077, 0.2379, 0.0000), As at (0.1222, 0.6287, 0.8808) and S at (0.1195, 0.1281, 0.6226).

***

Which one sits at the top of the stability order? two does.